#1
Material: HfS3Br
Method: DFT, GGA-PBE
State: relaxed

The crystal system is cubic.

The structure belongs to space group Pm-3m (No. 221); the cell edges are 4.9561, 4.9561 and 4.9561 Å and the angles 90.00°, 90.00° and 90.00°. The inequivalent atoms are Hf at (0.0000, 0.0000, 0.0000), S at (0.0000, 0.0000, 0.5000) and Br at (0.5000, 0.5000, 0.5000).

---

#2
Material: HfS3Br
Method: DFT, GGA-PBE
State: relaxed

The crystal system is cubic.

The structure belongs to space group Pm-3m (No. 221); the cell edges are 4.7473, 4.7473 and 4.7473 Å and the angles 90.00°, 90.00° and 90.00°. The inequivalent atoms are Hf at (0.0000, 0.0000, 0.0000), S at (0.0000, 0.5000, 0.5000) and Br at (0.5000, 0.5000, 0.5000).

---

It is #2 that is the least stable of them.

---

#1
Material: HfSeSBr2
Method: DFT, GGA-PBE
State: relaxed

The crystal system is tetragonal.

The structure belongs to space group P4/mmm (No. 123); the cell edges are 5.0739, 5.0739 and 4.8768 Å and the angles 90.00°, 90.00° and 90.00°. The inequivalent atoms are Hf at (0.0000, 0.0000, 0.0000), Se at (0.5000, 0.5000, 0.0000), S at (0.5000, 0.5000, 0.5000) and Br at (0.0000, 0.5000, 0.5000).

---

#2
Material: HfSeSBr2
Method: DFT, GGA-PBE
State: relaxed

The crystal system is tetragonal.

The structure belongs to space group P4/mmm (No. 123); the cell edges are 5.3148, 5.3148 and 5.1504 Å and the angles 90.00°, 90.00° and 90.00°. The inequivalent atoms are Hf at (0.0000, 0.0000, 0.0000), Se at (0.0000, 0.0000, 0.5000), S at (0.5000, 0.5000, 0.5000) and Br at (0.0000, 0.5000, 0.0000).

---

It is #1 that is the least stable of them.